Pr2Mn17C2 after structural relaxation. Source: the Alexandria database, functional GGA-PBEsol.

Calculated formation energy: 19 meV/atom
Crystal system: monoclinic

Cell lengths 6.360, 6.360, 6.353 Å; angles 96.18, 96.18, 84.54 degrees
Sites, in units of the cell vectors:
Pr1 0.141 0.141 0.339
Pr2 0.859 0.859 0.661
Mn1 0.000 0.500 0.000
Mn2 0.156 0.156 0.870
Mn3 0.163 0.632 0.337
Mn4 0.222 0.493 0.721
Mn5 0.236 0.764 0.000
Mn6 0.368 0.837 0.663
Mn7 0.405 0.405 0.094
Mn8 0.493 0.222 0.721
Mn9 0.500 0.000 0.000
Mn10 0.500 0.500 0.500
Mn11 0.507 0.778 0.279
Mn12 0.595 0.595 0.906
Mn13 0.632 0.163 0.337
Mn14 0.764 0.236 0.000
Mn15 0.778 0.507 0.279
Mn16 0.837 0.368 0.663
Mn17 0.844 0.844 0.130
C1 0.000 0.500 0.500
C2 0.500 0.000 0.500



RbMn3C after structural relaxation. Source: the Alexandria database, functional GGA-PBEsol.

Calculated formation energy: 3774 meV/atom
Crystal system: cubic

Cell lengths 4.690, 4.690, 4.690 Å; angles 90.00, 90.00, 90.00 degrees
Sites, in units of the cell vectors:
Rb1 0.000 0.000 0.000
Mn1 0.000 0.000 0.500
Mn2 0.000 0.500 0.000
Mn3 0.500 0.000 0.000
C1 0.500 0.500 0.500



RbMn2C2 after structural relaxation. Source: the Alexandria database, functional GGA-PBEsol.

Calculated formation energy: 482 meV/atom
Crystal system: tetragonal

Cell lengths 6.647, 6.647, 6.647 Å; angles 147.25, 147.25, 47.00 degrees
Sites, in units of the cell vectors:
Rb1 0.000 0.000 0.000
Mn1 0.255 0.255 0.000
Mn2 0.745 0.745 0.000
C1 0.250 0.750 0.500
C2 0.750 0.250 0.500



Mn3RhC after structural relaxation. Source: the Alexandria database, functional GGA-PBEsol.

Calculated formation energy: 50 meV/atom
Crystal system: cubic

Cell lengths 3.724, 3.724, 3.724 Å; angles 90.00, 90.00, 90.00 degrees
Sites, in units of the cell vectors:
Mn1 0.000 0.000 0.500
Mn2 0.000 0.500 0.000
Mn3 0.500 0.000 0.000
Rh1 0.500 0.500 0.500
C1 0.000 0.000 0.000



Mn2RuCS after structural relaxation. Source: the Alexandria database, functional GGA-PBEsol.

Uncorrected formation energy: 6.813 eV per formula unit
Crystal system: tetragonal

Cell lengths 4.278, 4.278, 3.510 Å; angles 90.00, 90.00, 90.00 degrees
Sites, in units of the cell vectors:
Mn1 0.000 0.500 0.000
Mn2 0.500 0.000 0.000
Ru1 0.000 0.000 0.500
C1 0.500 0.500 0.500
S1 0.500 0.500 0.000



Ta6MnC3S6 after structural relaxation. Source: the Alexandria database, functional GGA-PBEsol.

Uncorrected formation energy: -15.101 eV per formula unit
Crystal system: monoclinic

Cell lengths 5.679, 5.679, 8.777 Å; angles 96.20, 96.20, 120.02 degrees
Sites, in units of the cell vectors:
Ta1 0.122 0.122 0.368
Ta2 0.211 0.544 0.634
Ta3 0.456 0.789 0.366
Ta4 0.544 0.211 0.634
Ta5 0.789 0.456 0.366
Ta6 0.878 0.878 0.632
Mn1 0.000 0.000 0.000
C1 0.168 0.832 0.500
C2 0.500 0.500 0.500
C3 0.832 0.168 0.500
S1 0.058 0.395 0.175
S2 0.279 0.279 0.826
S3 0.395 0.058 0.175
S4 0.605 0.942 0.825
S5 0.721 0.721 0.174
S6 0.942 0.605 0.825



Sc2MnC after structural relaxation. Source: the Alexandria database, functional GGA-PBEsol.

Calculated formation energy: 1180 meV/atom
Crystal system: trigonal

Cell lengths 8.773, 8.773, 8.773 Å; angles 20.22, 20.22, 20.22 degrees
Sites, in units of the cell vectors:
Sc1 0.083 0.083 0.083
Sc2 0.917 0.917 0.917
Mn1 0.500 0.500 0.500
C1 0.000 0.000 0.000



Sc2MnSnC after structural relaxation. Source: the Alexandria database, functional GGA-PBEsol.

Calculated formation energy: 90 meV/atom
Crystal system: tetragonal

Cell lengths 4.399, 4.399, 4.600 Å; angles 90.00, 90.00, 90.00 degrees
Sites, in units of the cell vectors:
Sc1 0.000 0.500 0.000
Sc2 0.500 0.000 0.000
Mn1 0.000 0.000 0.500
Sn1 0.500 0.500 0.500
C1 0.500 0.500 0.000



Sc2TaMnC after structural relaxation. Source: the Alexandria database, functional GGA-PBEsol.

Calculated formation energy: 919 meV/atom
Crystal system: tetragonal

Cell lengths 4.832, 4.832, 3.613 Å; angles 90.00, 90.00, 90.00 degrees
Sites, in units of the cell vectors:
Sc1 0.000 0.500 0.000
Sc2 0.500 0.000 0.000
Ta1 0.000 0.000 0.500
Mn1 0.500 0.500 0.000
C1 0.500 0.500 0.500



MnC3Se after structural relaxation. Source: the Alexandria database, functional GGA-PBEsol.

Uncorrected formation energy: 9.998 eV per formula unit
Crystal system: cubic

Cell lengths 3.807, 3.807, 3.807 Å; angles 90.00, 90.00, 90.00 degrees
Sites, in units of the cell vectors:
Mn1 0.000 0.000 0.000
C1 0.000 0.000 0.500
C2 0.000 0.500 0.000
C3 0.500 0.000 0.000
Se1 0.500 0.500 0.500



Mn20Si12C after structural relaxation. Source: the Alexandria database, functional GGA-PBEsol.

Uncorrected formation energy: -12.916 eV per formula unit
Crystal system: monoclinic

Cell lengths 4.565, 11.592, 6.689 Å; angles 90.00, 90.05, 90.00 degrees
Sites, in units of the cell vectors:
Mn1 0.000 0.166 0.000
Mn2 0.000 0.333 0.500
Mn3 0.000 0.667 0.500
Mn4 0.000 0.834 0.000
Mn5 0.246 0.381 0.118
Mn6 0.246 0.619 0.118
Mn7 0.248 0.500 0.766
Mn8 0.250 0.000 0.266
Mn9 0.251 0.118 0.618
Mn10 0.251 0.882 0.618
Mn11 0.500 0.166 0.000
Mn12 0.500 0.334 0.500
Mn13 0.500 0.666 0.500
Mn14 0.500 0.834 0.000
Mn15 0.749 0.118 0.382
Mn16 0.749 0.882 0.382
Mn17 0.750 0.000 0.734
Mn18 0.752 0.500 0.234
Mn19 0.754 0.381 0.882
Mn20 0.754 0.619 0.882
Si1 0.249 0.197 0.304
Si2 0.249 0.803 0.304
Si3 0.250 0.000 0.893
Si4 0.251 0.500 0.399
Si5 0.253 0.299 0.800
Si6 0.253 0.701 0.800
Si7 0.747 0.299 0.200
Si8 0.747 0.701 0.200
Si9 0.749 0.500 0.601
Si10 0.750 0.000 0.107
Si11 0.751 0.197 0.696
Si12 0.751 0.803 0.696
C1 0.000 0.500 0.000



TmMn2SiC after structural relaxation. Source: the Alexandria database, functional GGA-PBEsol.

Uncorrected formation energy: -2.793 eV per formula unit
Crystal system: orthorhombic

Cell lengths 5.498, 5.498, 6.859 Å; angles 90.00, 90.00, 141.51 degrees
Sites, in units of the cell vectors:
Tm1 0.043 0.957 0.750
Tm2 0.957 0.043 0.250
Mn1 0.331 0.669 0.562
Mn2 0.331 0.669 0.938
Mn3 0.669 0.331 0.062
Mn4 0.669 0.331 0.438
Si1 0.237 0.763 0.250
Si2 0.763 0.237 0.750
C1 0.500 0.500 0.000
C2 0.500 0.500 0.500



UMn2SiC after structural relaxation. Source: the Alexandria database, functional GGA-PBEsol.

Uncorrected formation energy: -1.704 eV per formula unit
Crystal system: orthorhombic

Cell lengths 5.564, 5.564, 6.605 Å; angles 90.00, 90.00, 141.16 degrees
Sites, in units of the cell vectors:
U1 0.054 0.946 0.750
U2 0.946 0.054 0.250
Mn1 0.332 0.668 0.561
Mn2 0.332 0.668 0.939
Mn3 0.668 0.332 0.061
Mn4 0.668 0.332 0.439
Si1 0.227 0.773 0.250
Si2 0.773 0.227 0.750
C1 0.500 0.500 0.000
C2 0.500 0.500 0.500



ZrMnSiC2 after structural relaxation. Source: the Alexandria database, functional GGA-PBEsol.

Uncorrected formation energy: 10.660 eV per formula unit
Crystal system: tetragonal

Cell lengths 4.123, 4.123, 5.296 Å; angles 90.00, 90.00, 90.00 degrees
Sites, in units of the cell vectors:
Zr1 0.000 0.000 0.000
Mn1 0.000 0.000 0.500
Si1 0.500 0.500 0.500
C1 0.000 0.500 0.000
C2 0.500 0.000 0.000



Sm2Mn17C2 after structural relaxation. Source: the Alexandria database, functional GGA-PBEsol.

Calculated formation energy: -27 meV/atom
Crystal system: monoclinic

Cell lengths 6.310, 6.310, 6.324 Å; angles 96.11, 96.11, 84.04 degrees
Sites, in units of the cell vectors:
Sm1 0.145 0.145 0.342
Sm2 0.855 0.855 0.658
Mn1 0.000 0.500 0.000
Mn2 0.151 0.151 0.870
Mn3 0.162 0.635 0.338
Mn4 0.222 0.494 0.721
Mn5 0.232 0.768 0.000
Mn6 0.365 0.838 0.662
Mn7 0.405 0.405 0.095
Mn8 0.494 0.222 0.721
Mn9 0.500 0.000 0.000
Mn10 0.500 0.500 0.500
Mn11 0.506 0.778 0.279
Mn12 0.595 0.595 0.905
Mn13 0.635 0.162 0.338
Mn14 0.768 0.232 0.000
Mn15 0.778 0.506 0.279
Mn16 0.838 0.365 0.662
Mn17 0.849 0.849 0.130
C1 0.000 0.500 0.500
C2 0.500 0.000 0.500



TaMnSnC2 after structural relaxation. Source: the Alexandria database, functional GGA-PBEsol.

Calculated formation energy: 1301 meV/atom
Crystal system: tetragonal

Cell lengths 3.818, 3.818, 4.879 Å; angles 90.00, 90.00, 90.00 degrees
Sites, in units of the cell vectors:
Ta1 0.000 0.000 0.000
Mn1 0.000 0.000 0.500
Sn1 0.500 0.500 0.000
C1 0.000 0.500 0.500
C2 0.500 0.000 0.500



MnTcSn2C after structural relaxation. Source: the Alexandria database, functional GGA-PBEsol.

Calculated formation energy: 1131 meV/atom
Crystal system: tetragonal

Cell lengths 4.970, 4.970, 3.550 Å; angles 90.00, 90.00, 90.00 degrees
Sites, in units of the cell vectors:
Mn1 0.000 0.000 0.000
Tc1 0.500 0.500 0.500
Sn1 0.000 0.500 0.000
Sn2 0.500 0.000 0.000
C1 0.000 0.000 0.500



TaTiMnC2 after structural relaxation. Source: the Alexandria database, functional GGA-PBEsol.

Calculated formation energy: 1913 meV/atom
Crystal system: tetragonal

Cell lengths 4.122, 4.122, 4.913 Å; angles 90.00, 90.00, 90.00 degrees
Sites, in units of the cell vectors:
Ta1 0.000 0.000 0.000
Ti1 0.000 0.000 0.500
Mn1 0.500 0.500 0.500
C1 0.000 0.500 0.000
C2 0.500 0.000 0.000



Mn3TcC after structural relaxation. Source: the Alexandria database, functional GGA-PBEsol.

Calculated formation energy: 2581 meV/atom
Crystal system: cubic

Cell lengths 4.445, 4.445, 4.445 Å; angles 90.00, 90.00, 90.00 degrees
Sites, in units of the cell vectors:
Mn1 0.000 0.000 0.500
Mn2 0.000 0.500 0.000
Mn3 0.500 0.000 0.000
Tc1 0.000 0.000 0.000
C1 0.500 0.500 0.500



MnTe3C after structural relaxation. Source: the Alexandria database, functional GGA-PBEsol.

Uncorrected formation energy: 8.332 eV per formula unit
Crystal system: cubic

Cell lengths 5.043, 5.043, 5.043 Å; angles 90.00, 90.00, 90.00 degrees
Sites, in units of the cell vectors:
Mn1 0.000 0.000 0.000
Te1 0.000 0.000 0.500
Te2 0.000 0.500 0.000
Te3 0.500 0.000 0.000
C1 0.500 0.500 0.500



| no. | uncorrected energy (eV for the cell shown) |
| --- | --- |
| 1 | -195.2 |
| 2 | -21.1 |
| 3 | -37.4 |
| 4 | -46.8 |
| 5 | -36.9 |
| 6 | -155.4 |
| 7 | -27.9 |
| 8 | -36.4 |
| 9 | -40.6 |
| 10 | -32.5 |
| 11 | -286.7 |
| 12 | -85.2 |
| 13 | -97.5 |
| 14 | -33.2 |
| 15 | -196.0 |
| 16 | -39.4 |
| 17 | -33.5 |
| 18 | -40.4 |
| 19 | -37.3 |
| 20 | -21.7 |